Entry 1:
# Cs3Sm2HoO6 (GGA-PBE, relaxed)
# **Formation energy from raw total energies**: -2.576 eV/atom
# **V**: 19.6 Å³/atom
# **Space group**: C2/m
# **DOS(E_F)**: 0.00 states/eV/f.u.
data_Cs3Sm2HoO6
_space_group_name_H-M_alt 'P 1'
_space_group_IT_number 1
_cell_length_a 6.262
_cell_length_b 6.262
_cell_length_c 7.225
_cell_angle_alpha 98.30
_cell_angle_beta 98.30
_cell_angle_gamma 120.00
loop_
_space_group_symop_operation_xyz
'x,y,z'
loop_
_atom_site_label
_atom_site_type_symbol
_atom_site_fract_x
_atom_site_fract_y
_atom_site_fract_z
Cs1 Cs 0.000 0.000 0.000
Cs2 Cs 0.334 0.666 0.000
Cs3 Cs 0.666 0.334 0.000
Sm1 Sm 0.167 0.833 0.500
Sm2 Sm 0.833 0.167 0.500
Ho1 Ho 0.500 0.500 0.500
O1 O 0.119 0.445 0.334
O2 O 0.230 0.230 0.667
O3 O 0.445 0.119 0.334
O4 O 0.555 0.881 0.666
O5 O 0.770 0.770 0.333
O6 O 0.881 0.555 0.666

***

Entry 2:
# Li2GaPb2 (GGA-PBE, relaxed)
# **Energy above the most stable polymorph in this dataset**: 0.30 eV per formula unit
# **V**: 23.3 Å³/atom
# **Space group**: P4/mbm
# **Energy of formation from the pure elements**: -0.44 eV/f.u.
# **DOS(E_F)**: 1.72 states/eV/f.u.
data_Li2GaPb2
_space_group_name_H-M_alt 'P 1'
_space_group_IT_number 1
_cell_length_a 8.248
_cell_length_b 8.248
_cell_length_c 3.428
_cell_angle_alpha 90.00
_cell_angle_beta 90.00
_cell_angle_gamma 90.00
loop_
_space_group_symop_operation_xyz
'x,y,z'
loop_
_atom_site_label
_atom_site_type_symbol
_atom_site_fract_x
_atom_site_fract_y
_atom_site_fract_z
Li1 Li 0.167 0.333 0.000
Li2 Li 0.333 0.833 0.000
Li3 Li 0.667 0.167 0.000
Li4 Li 0.833 0.667 0.000
Ga1 Ga 0.000 0.000 0.500
Ga2 Ga 0.500 0.500 0.500
Pb1 Pb 0.136 0.636 0.500
Pb2 Pb 0.364 0.136 0.500
Pb3 Pb 0.636 0.864 0.500
Pb4 Pb 0.864 0.364 0.500

***

Entry 3:
# TiMnSi (GGA-PBE, relaxed)
# **Formation energy from raw total energies**: -0.426 eV/atom
# **V**: 13.6 Å³/atom
# **Space group**: P-6m2
# **DOS(E_F)**: 1.19 states/eV/f.u.
data_TiMnSi
_space_group_name_H-M_alt 'P 1'
_space_group_IT_number 1
_cell_length_a 4.088
_cell_length_b 4.088
_cell_length_c 5.649
_cell_angle_alpha 90.00
_cell_angle_beta 90.00
_cell_angle_gamma 120.00
loop_
_space_group_symop_operation_xyz
'x,y,z'
loop_
_atom_site_label
_atom_site_type_symbol
_atom_site_fract_x
_atom_site_fract_y
_atom_site_fract_z
Ti1 Ti 0.000 0.000 0.000
Ti2 Ti 0.000 0.000 0.500
Mn1 Mn 0.667 0.333 0.185
Mn2 Mn 0.667 0.333 0.815
Si1 Si 0.333 0.667 0.267
Si2 Si 0.333 0.667 0.733

***

Entry 4:
# Cd3TeW (GGA-PBE, relaxed)
# **Formation energy from raw total energies**: 1.622 eV/atom
# **Energy above the most stable polymorph in this dataset**: 2.11 eV per formula unit
# **V**: 34.9 Å³/atom
# **Space group**: Pm-3m
# **DOS(E_F)**: 2.81 states/eV/f.u.
data_Cd3TeW
_space_group_name_H-M_alt 'P 1'
_space_group_IT_number 1
_cell_length_a 5.589
_cell_length_b 5.589
_cell_length_c 5.589
_cell_angle_alpha 90.00
_cell_angle_beta 90.00
_cell_angle_gamma 90.00
loop_
_space_group_symop_operation_xyz
'x,y,z'
loop_
_atom_site_label
_atom_site_type_symbol
_atom_site_fract_x
_atom_site_fract_y
_atom_site_fract_z
Cd1 Cd 0.000 0.000 0.500
Cd2 Cd 0.000 0.500 0.000
Cd3 Cd 0.500 0.000 0.000
Te1 Te 0.000 0.000 0.000
W1 W 0.500 0.500 0.500

***

Entry 5:
# ErScNiPd (GGA-PBE, relaxed)
# **Energy above the most stable polymorph in this dataset**: 0.07 eV per formula unit
# **V**: 18.7 Å³/atom
# **Space group**: F-43m
# **Energy of formation from the pure elements**: -2.62 eV/f.u.
# **DOS(E_F)**: 3.70 states/eV/f.u.
data_ErScNiPd
_space_group_name_H-M_alt 'P 1'
_space_group_IT_number 1
_cell_length_a 4.726
_cell_length_b 4.726
_cell_length_c 4.726
_cell_angle_alpha 60.00
_cell_angle_beta 60.00
_cell_angle_gamma 60.00
loop_
_space_group_symop_operation_xyz
'x,y,z'
loop_
_atom_site_label
_atom_site_type_symbol
_atom_site_fract_x
_atom_site_fract_y
_atom_site_fract_z
Er1 Er 0.000 0.000 0.000
Sc1 Sc 0.500 0.500 0.500
Ni1 Ni 0.250 0.250 0.250
Pd1 Pd 0.750 0.750 0.750

***

Entry 6:
# Ba4AsI5 (GGA-PBE, relaxed)
# **Formation energy from raw total energies**: -1.651 eV/atom
# **Energy above the most stable polymorph in this dataset**: 0.00 eV per formula unit
# **V**: 51.0 Å³/atom
# **Space group**: C2/m
# **DOS(E_F)**: 0.00 states/eV/f.u.
data_Ba4AsI5
_space_group_name_H-M_alt 'P 1'
_space_group_IT_number 1
_cell_length_a 11.160
_cell_length_b 11.160
_cell_length_c 9.781
_cell_angle_alpha 105.93
_cell_angle_beta 105.93
_cell_angle_gamma 25.85
loop_
_space_group_symop_operation_xyz
'x,y,z'
loop_
_atom_site_label
_atom_site_type_symbol
_atom_site_fract_x
_atom_site_fract_y
_atom_site_fract_z
Ba1 Ba 0.001 0.001 0.231
Ba2 Ba 0.342 0.342 0.894
Ba3 Ba 0.658 0.658 0.106
Ba4 Ba 0.999 0.999 0.769
As1 As 0.500 0.500 0.000
I1 I 0.167 0.167 0.352
I2 I 0.169 0.169 0.858
I3 I 0.500 0.500 0.500
I4 I 0.831 0.831 0.142
I5 I 0.833 0.833 0.648

***

Entry 7:
# LiTa2B6 (GGA-PBE, relaxed)
# **V**: 8.9 Å³/atom
# **Space group**: P6/mmm
# **Energy of formation from the pure elements**: -5.49 eV/f.u.
# **DOS(E_F)**: 1.98 states/eV/f.u.
data_LiTa2B6
_space_group_name_H-M_alt 'P 1'
_space_group_IT_number 1
_cell_length_a 5.294
_cell_length_b 5.294
_cell_length_c 3.316
_cell_angle_alpha 90.00
_cell_angle_beta 90.00
_cell_angle_gamma 120.00
loop_
_space_group_symop_operation_xyz
'x,y,z'
loop_
_atom_site_label
_atom_site_type_symbol
_atom_site_fract_x
_atom_site_fract_y
_atom_site_fract_z
Li1 Li 0.000 0.000 0.000
Ta1 Ta 0.333 0.667 0.000
Ta2 Ta 0.667 0.333 0.000
B1 B 0.000 0.330 0.500
B2 B 0.000 0.670 0.500
B3 B 0.330 0.000 0.500
B4 B 0.330 0.330 0.500
B5 B 0.670 0.000 0.500
B6 B 0.670 0.670 0.500

***

Entry 8:
# BaAgTe2N (GGA-PBE, relaxed)
# **Formation energy from raw total energies**: 1.061 eV/atom
# **Energy above the most stable polymorph in this dataset**: 4.50 eV per formula unit
# **V**: 38.7 Å³/atom
# **Space group**: P4/mmm
# **DOS(E_F)**: 7.60 states/eV/f.u.
data_BaAgTe2N
_space_group_name_H-M_alt 'P 1'
_space_group_IT_number 1
_cell_length_a 6.676
_cell_length_b 6.676
_cell_length_c 4.343
_cell_angle_alpha 90.00
_cell_angle_beta 90.00
_cell_angle_gamma 90.00
loop_
_space_group_symop_operation_xyz
'x,y,z'
loop_
_atom_site_label
_atom_site_type_symbol
_atom_site_fract_x
_atom_site_fract_y
_atom_site_fract_z
Ba1 Ba 0.000 0.000 0.000
Ag1 Ag 0.500 0.500 0.500
Te1 Te 0.000 0.500 0.000
Te2 Te 0.500 0.000 0.000
N1 N 0.000 0.000 0.500

***

Entry 9:
# NdSmAgPb (GGA-PBE, relaxed)
# **V**: 28.1 Å³/atom
# **Space group**: F-43m
# **Energy of formation from the pure elements**: -1.68 eV/f.u.
# **DOS(E_F)**: 3.30 states/eV/f.u.
data_NdSmAgPb
_space_group_name_H-M_alt 'P 1'
_space_group_IT_number 1
_cell_length_a 5.418
_cell_length_b 5.418
_cell_length_c 5.418
_cell_angle_alpha 60.00
_cell_angle_beta 60.00
_cell_angle_gamma 60.00
loop_
_space_group_symop_operation_xyz
'x,y,z'
loop_
_atom_site_label
_atom_site_type_symbol
_atom_site_fract_x
_atom_site_fract_y
_atom_site_fract_z
Nd1 Nd 0.000 0.000 0.000
Sm1 Sm 0.500 0.500 0.500
Ag1 Ag 0.750 0.750 0.750
Pb1 Pb 0.250 0.250 0.250

***

Entry 10:
# CePrDySn (GGA-PBE, relaxed)
# **V**: 28.8 Å³/atom
# **Space group**: F-43m
# **Energy of formation from the pure elements**: -0.80 eV/f.u.
# **DOS(E_F)**: 7.19 states/eV/f.u.
data_CePrDySn
_space_group_name_H-M_alt 'P 1'
_space_group_IT_number 1
_cell_length_a 5.462
_cell_length_b 5.462
_cell_length_c 5.462
_cell_angle_alpha 60.00
_cell_angle_beta 60.00
_cell_angle_gamma 60.00
loop_
_space_group_symop_operation_xyz
'x,y,z'
loop_
_atom_site_label
_atom_site_type_symbol
_atom_site_fract_x
_atom_site_fract_y
_atom_site_fract_z
Ce1 Ce 0.000 0.000 0.000
Pr1 Pr 0.750 0.750 0.750
Dy1 Dy 0.250 0.250 0.250
Sn1 Sn 0.500 0.500 0.500

***

Entry 11:
# LiAg2Rh (GGA-PBE, relaxed)
# **V**: 17.3 Å³/atom
# **Space group**: I-42d
# **Energy of formation from the pure elements**: 1.24 eV/f.u.
# **DOS(E_F)**: 1.91 states/eV/f.u.
data_LiAg2Rh
_space_group_name_H-M_alt 'P 1'
_space_group_IT_number 1
_cell_length_a 9.903
_cell_length_b 9.903
_cell_length_c 9.903
_cell_angle_alpha 157.80
_cell_angle_beta 157.80
_cell_angle_gamma 31.60
loop_
_space_group_symop_operation_xyz
'x,y,z'
loop_
_atom_site_label
_atom_site_type_symbol
_atom_site_fract_x
_atom_site_fract_y
_atom_site_fract_z
Li1 Li 0.000 0.000 0.000
Li2 Li 0.750 0.250 0.500
Ag1 Ag 0.122 0.625 0.997
Ag2 Ag 0.375 0.372 0.497
Ag3 Ag 0.628 0.125 0.003
Ag4 Ag 0.875 0.878 0.503
Rh1 Rh 0.250 0.750 0.500
Rh2 Rh 0.500 0.500 0.000

***

Entry 12:
# Re2BiSe4 (GGA-PBE, relaxed)
# **Formation energy from raw total energies**: 0.944 eV/atom
# **V**: 28.0 Å³/atom
# **Space group**: I4/mmm
# **DOS(E_F)**: 5.39 states/eV/f.u.
data_Re2BiSe4
_space_group_name_H-M_alt 'P 1'
_space_group_IT_number 1
_cell_length_a 7.528
_cell_length_b 7.528
_cell_length_c 7.528
_cell_angle_alpha 137.02
_cell_angle_beta 137.02
_cell_angle_gamma 62.41
loop_
_space_group_symop_operation_xyz
'x,y,z'
loop_
_atom_site_label
_atom_site_type_symbol
_atom_site_fract_x
_atom_site_fract_y
_atom_site_fract_z
Re1 Re 0.090 0.090 0.000
Re2 Re 0.910 0.910 0.000
Bi1 Bi 0.500 0.500 0.000
Se1 Se 0.000 0.500 0.500
Se2 Se 0.272 0.272 0.000
Se3 Se 0.500 0.000 0.500
Se4 Se 0.728 0.728 0.000

***

Entry 13:
# Na3Pd (GGA-PBE, relaxed)
# **V**: 27.0 Å³/atom
# **Space group**: Pmm2
# **Energy of formation from the pure elements**: 0.34 eV/f.u.
# **DOS(E_F)**: 1.73 states/eV/f.u.
data_Na3Pd
_space_group_name_H-M_alt 'P 1'
_space_group_IT_number 1
_cell_length_a 3.093
_cell_length_b 3.302
_cell_length_c 10.573
_cell_angle_alpha 90.00
_cell_angle_beta 90.00
_cell_angle_gamma 90.00
loop_
_space_group_symop_operation_xyz
'x,y,z'
loop_
_atom_site_label
_atom_site_type_symbol
_atom_site_fract_x
_atom_site_fract_y
_atom_site_fract_z
Na1 Na 0.000 0.000 0.000
Na2 Na 0.000 0.500 0.315
Na3 Na 0.500 0.500 0.705
Pd1 Pd 0.500 0.000 0.489

***

Entry 14:
# ZrAlB2H (GGA-PBE, relaxed)
# **Total energy**: -26.30 eV for the cell shown
# **V**: 10.6 Å³/atom
# **Space group**: P4/mmm
# **DOS(E_F)**: 2.58 states/eV/f.u.
data_ZrAlB2H
_space_group_name_H-M_alt 'P 1'
_space_group_IT_number 1
_cell_length_a 3.838
_cell_length_b 3.838
_cell_length_c 3.610
_cell_angle_alpha 90.00
_cell_angle_beta 90.00
_cell_angle_gamma 90.00
loop_
_space_group_symop_operation_xyz
'x,y,z'
loop_
_atom_site_label
_atom_site_type_symbol
_atom_site_fract_x
_atom_site_fract_y
_atom_site_fract_z
Zr1 Zr 0.000 0.000 0.000
Al1 Al 0.500 0.500 0.000
B1 B 0.000 0.500 0.500
B2 B 0.500 0.000 0.500
H1 H 0.000 0.000 0.500

***

Entry 15:
# HgSb2W (GGA-PBE, relaxed)
# **Formation energy from raw total energies**: 0.615 eV/atom
# **V**: 22.6 Å³/atom
# **Space group**: C2/m
# **DOS(E_F)**: 2.29 states/eV/f.u.
data_HgSb2W
_space_group_name_H-M_alt 'P 1'
_space_group_IT_number 1
_cell_length_a 5.137
_cell_length_b 5.137
_cell_length_c 5.690
_cell_angle_alpha 99.75
_cell_angle_beta 99.75
_cell_angle_gamma 37.79
loop_
_space_group_symop_operation_xyz
'x,y,z'
loop_
_atom_site_label
_atom_site_type_symbol
_atom_site_fract_x
_atom_site_fract_y
_atom_site_fract_z
Hg1 Hg 0.000 0.000 0.000
Sb1 Sb 0.221 0.221 0.714
Sb2 Sb 0.779 0.779 0.286
W1 W 0.500 0.500 0.500

***

Entry 16:
# Rb2PbI4 (GGA-PBE, relaxed)
# **Formation energy from raw total energies**: -1.121 eV/atom
# **Energy above the most stable polymorph in this dataset**: 0.13 eV per formula unit
# **V**: 47.9 Å³/atom
# **Space group**: C2/m
# **DOS(E_F)**: 0.00 states/eV/f.u.
data_Rb2PbI4
_space_group_name_H-M_alt 'P 1'
_space_group_IT_number 1
_cell_length_a 8.154
_cell_length_b 8.154
_cell_length_c 10.142
_cell_angle_alpha 116.93
_cell_angle_beta 116.93
_cell_angle_gamma 34.42
loop_
_space_group_symop_operation_xyz
'x,y,z'
loop_
_atom_site_label
_atom_site_type_symbol
_atom_site_fract_x
_atom_site_fract_y
_atom_site_fract_z
Rb1 Rb 0.148 0.148 0.178
Rb2 Rb 0.852 0.852 0.822
Pb1 Pb 0.500 0.500 0.500
I1 I 0.159 0.159 0.564
I2 I 0.445 0.445 0.150
I3 I 0.555 0.555 0.850
I4 I 0.841 0.841 0.436

***

Entry 17:
# YCd5Pd6 (GGA-PBE, relaxed)
# **V**: 18.2 Å³/atom
# **Space group**: P2/m
# **Energy of formation from the pure elements**: -6.04 eV/f.u.
# **DOS(E_F)**: 4.01 states/eV/f.u.
data_YCd5Pd6
_space_group_name_H-M_alt 'P 1'
_space_group_IT_number 1
_cell_length_a 4.722
_cell_length_b 6.562
_cell_length_c 7.191
_cell_angle_alpha 90.00
_cell_angle_beta 102.09
_cell_angle_gamma 90.00
loop_
_space_group_symop_operation_xyz
'x,y,z'
loop_
_atom_site_label
_atom_site_type_symbol
_atom_site_fract_x
_atom_site_fract_y
_atom_site_fract_z
Y1 Y 0.000 0.000 0.000
Cd1 Cd 0.000 0.500 0.000
Cd2 Cd 0.343 0.500 0.669
Cd3 Cd 0.347 0.000 0.664
Cd4 Cd 0.653 0.000 0.336
Cd5 Cd 0.657 0.500 0.331
Pd1 Pd 0.156 0.255 0.336
Pd2 Pd 0.156 0.745 0.336
Pd3 Pd 0.500 0.257 0.000
Pd4 Pd 0.500 0.743 0.000
Pd5 Pd 0.844 0.255 0.664
Pd6 Pd 0.844 0.745 0.664

***

Entry 18:
# MgAlCl (GGA-PBE, relaxed)
# **Formation energy from raw total energies**: -0.385 eV/atom
# **Energy above the most stable polymorph in this dataset**: 0.39 eV per formula unit
# **V**: 26.0 Å³/atom
# **Space group**: Fmm2
# **DOS(E_F)**: 1.55 states/eV/f.u.
data_MgAlCl
_space_group_name_H-M_alt 'P 1'
_space_group_IT_number 1
_cell_length_a 8.608
_cell_length_b 8.399
_cell_length_c 3.189
_cell_angle_alpha 82.90
_cell_angle_beta 75.53
_cell_angle_gamma 21.57
loop_
_space_group_symop_operation_xyz
'x,y,z'
loop_
_atom_site_label
_atom_site_type_symbol
_atom_site_fract_x
_atom_site_fract_y
_atom_site_fract_z
Mg1 Mg 0.000 0.000 0.000
Al1 Al 0.354 0.354 0.646
Cl1 Cl 0.596 0.596 0.404

***

Entry 19:
# Hf2AlSnB (GGA-PBE, relaxed)
# **V**: 18.1 Å³/atom
# **Space group**: P4/mmm
# **Energy of formation from the pure elements**: -1.40 eV/f.u.
# **DOS(E_F)**: 3.93 states/eV/f.u.
data_Hf2AlSnB
_space_group_name_H-M_alt 'P 1'
_space_group_IT_number 1
_cell_length_a 4.696
_cell_length_b 4.696
_cell_length_c 4.098
_cell_angle_alpha 90.00
_cell_angle_beta 90.00
_cell_angle_gamma 90.00
loop_
_space_group_symop_operation_xyz
'x,y,z'
loop_
_atom_site_label
_atom_site_type_symbol
_atom_site_fract_x
_atom_site_fract_y
_atom_site_fract_z
Hf1 Hf 0.000 0.500 0.000
Hf2 Hf 0.500 0.000 0.000
Al1 Al 0.000 0.000 0.500
Sn1 Sn 0.500 0.500 0.500
B1 B 0.000 0.000 0.000

***

Entry 20:
# NdEuPb2 (GGA-PBE, relaxed)
# **Energy above the most stable polymorph in this dataset**: 0.06 eV per formula unit
# **V**: 30.9 Å³/atom
# **Space group**: P4/mmm
# **Energy of formation from the pure elements**: -2.06 eV/f.u.
# **DOS(E_F)**: 2.15 states/eV/f.u.
data_NdEuPb2
_space_group_name_H-M_alt 'P 1'
_space_group_IT_number 1
_cell_length_a 5.200
_cell_length_b 5.200
_cell_length_c 4.566
_cell_angle_alpha 90.00
_cell_angle_beta 90.00
_cell_angle_gamma 90.00
loop_
_space_group_symop_operation_xyz
'x,y,z'
loop_
_atom_site_label
_atom_site_type_symbol
_atom_site_fract_x
_atom_site_fract_y
_atom_site_fract_z
Nd1 Nd 0.000 0.000 0.000
Eu1 Eu 0.500 0.500 0.000
Pb1 Pb 0.000 0.500 0.500
Pb2 Pb 0.500 0.000 0.500